1.
## La2MgB3Pt12 (PBE-GGA)

Data for an optimized crystal structure of La2MgB3Pt12.

The calculated total energy is -338.60 eV for the cell shown. Its formation energy is -0.49 eV/atom. As for the volume: 962 Å³/cell.

The space group is R-3m (No. 166, hexagonal axes) and the conventional cell measures 8.0355, 8.0355 and 17.2053 Å, with angles of 90.00, 90.00 and 120.00 degrees. Symmetry generates all atoms from La at (0.0000, 0.0000, 0.1068), Mg at (0.0000, 0.0000, 0.5000), B at (0.0000, 0.5000, 0.0000), Pt at (0.0066, 0.5033, 0.8775) and Pt at (0.0598, 0.5299, 0.3521).

***

2.
## CrTeCN2 (PBE-GGA)

Data for an optimized crystal structure of CrTeCN2.

The calculated total energy is -31.86 eV for the cell shown. As for the volume: 71 Å³/cell.

The space group is P4/mmm (No. 123) and the conventional cell measures 3.552, 3.552 and 5.615 Å, with angles of 90.00, 90.00 and 90.00 degrees. Symmetry generates all atoms from Cr at (0.000, 0.000, 0.000), Te at (0.000, 0.000, 0.500), C at (0.500, 0.500, 0.500) and N at (0.000, 0.500, 0.000).

***

3.
## CoSe2Br (PBE-GGA)

Data for an optimized crystal structure of CoSe2Br.

The calculated total energy is -48.73 eV for the cell shown. As for the volume: 241 Å³/cell.

The space group is R-3m (No. 166, hexagonal axes) and the conventional cell measures 3.5716, 3.5716 and 21.7938 Å, with angles of 90.00, 90.00 and 120.00 degrees. Symmetry generates all atoms from Co at (0.0000, 0.0000, 0.0000), Se at (0.0000, 0.0000, 0.2788) and Br at (0.0000, 0.0000, 0.5000).

***

4.
## Hf6SnP2 (PBE-GGA)

Data for an optimized crystal structure of Hf6SnP2.

The calculated total energy is -158.35 eV for the cell shown. Its formation energy is -0.51 eV/atom. As for the volume: 360 Å³/cell.

The space group is C2/m (No. 12) and the conventional cell measures 10.128, 5.186 and 8.428 Å, with angles of 90.00, 125.64 and 90.00 degrees. Symmetry generates all atoms from Hf at (0.077, 0.000, 0.402), Hf at (0.160, 0.500, 0.676), Hf at (0.182, 0.500, 0.055), Sn at (0.000, 0.000, 0.000) and P at (0.102, 0.500, 0.318).

***

5.
## LaZrCu (PBE-GGA)

Data for an optimized crystal structure of LaZrCu.

The calculated total energy is -69.69 eV for the cell shown. Its formation energy is 0.05 eV/atom. As for the volume: 276 Å³/cell.

The space group is Cm (No. 8) and the conventional cell measures 11.162, 3.398 and 7.885 Å, with angles of 90.00, 112.71 and 90.00 degrees. Symmetry generates all atoms from La at (0.000, 0.000, 0.000), La at (0.191, 0.500, 0.819), Zr at (0.022, 0.000, 0.422), Zr at (0.350, 0.000, 0.578), Cu at (0.200, 0.500, 0.308) and Cu at (0.325, 0.000, 0.190).

***

6.
## La6PdI8 (PBE-GGA)

Data for an optimized crystal structure of La6PdI8.

The calculated total energy is -196.46 eV for the cell shown. As for the volume: 1840 Å³/cell.

The space group is R-3 (No. 148, hexagonal axes) and the conventional cell measures 7.8242, 7.8242 and 34.7099 Å, with angles of 90.00, 90.00 and 120.00 degrees. Symmetry generates all atoms from La at (0.9999, 0.3083, 0.4491), Pd at (0.0000, 0.0000, 0.5000), I at (0.0000, 0.0000, 0.1667) and I at (0.9999, 0.3468, 0.6088).

***

7.
## KReBr5 (PBE-GGA)

Data for an optimized crystal structure of KReBr5.

The calculated total energy is -105.80 eV for the cell shown. As for the volume: 1033 Å³/cell.

The space group is C2/c (No. 15) and the conventional cell measures 11.401, 14.675 and 7.476 Å, with angles of 90.00, 124.30 and 90.00 degrees. Symmetry generates all atoms from K at (0.000, 0.171, 0.250), Re at (0.250, 0.250, 0.000), Br at (0.000, 0.177, 0.750), Br at (0.182, 0.340, 0.215) and Br at (0.198, 0.386, 0.764).

***

8.
## NdEr2Te4 (PBE-GGA)

Data for an optimized crystal structure of NdEr2Te4.

The calculated total energy is -144.06 eV for the cell shown. As for the volume: 914 Å³/cell.

The space group is Cmcm (No. 63) and the conventional cell measures 4.283, 14.294 and 14.926 Å, with angles of 90.00, 90.00 and 90.00 degrees. Symmetry generates all atoms from Nd at (0.000, 0.126, 0.250), Er at (0.000, 0.369, 0.068), Te at (0.000, 0.000, 0.000), Te at (0.000, 0.275, 0.619) and Te at (0.000, 0.460, 0.250).

***

9.
## Ba2SrCd3Pb4 (PBE-GGA)

Data for an optimized crystal structure of Ba2SrCd3Pb4.

The calculated total energy is -26.86 eV for the cell shown. Its formation energy is -0.37 eV/atom. As for the volume: 346 Å³/cell.

The space group is P-4m2 (No. 115) and the conventional cell measures 5.094, 5.094 and 13.341 Å, with angles of 90.00, 90.00 and 90.00 degrees. Symmetry generates all atoms from Ba at (0.000, 0.500, 0.237), Sr at (0.000, 0.000, 0.500), Cd at (0.000, 0.500, 0.867), Cd at (0.500, 0.500, 0.500), Pb at (0.000, 0.000, 0.000), Pb at (0.000, 0.500, 0.651) and Pb at (0.500, 0.500, 0.000).

***

10.
## K2RbNa3 (PBE-GGA)

Data for an optimized crystal structure of K2RbNa3.

The calculated total energy is -6.96 eV for the cell shown. Its formation energy is 0.03 eV/atom. As for the volume: 335 Å³/cell.

The space group is P4/mmm (No. 123) and the conventional cell measures 4.745, 4.745 and 14.902 Å, with angles of 90.00, 90.00 and 90.00 degrees. Symmetry generates all atoms from K at (0.000, 0.000, 0.162), Rb at (0.000, 0.000, 0.500), Na at (0.500, 0.500, 0.000) and Na at (0.500, 0.500, 0.318).

***

11.
## ScCr2Au (PBE-GGA)

Data for an optimized crystal structure of ScCr2Au.

The calculated total energy is -57.92 eV for the cell shown. Its formation energy is -0.03 eV/atom. As for the volume: 135 Å³/cell.

The space group is Imm2 (No. 44) and the conventional cell measures 4.161, 4.193 and 7.730 Å, with angles of 90.00, 90.00 and 90.00 degrees. Symmetry generates all atoms from Sc at (0.000, 0.000, 0.000), Cr at (0.000, 0.000, 0.502), Cr at (0.000, 0.500, 0.250) and Au at (0.000, 0.500, 0.751).

***

12.
## Tl2Pb12Au7 (PBE-GGA)

Data for an optimized crystal structure of Tl2Pb12Au7.

The calculated total energy is -73.05 eV for the cell shown. Its formation energy is -0.04 eV/atom. As for the volume: 591 Å³/cell.

The space group is P-6 (No. 174) and the conventional cell measures 12.1619, 12.1619 and 4.6167 Å, with angles of 90.00, 90.00 and 120.00 degrees. Symmetry generates all atoms from Tl at (0.0000, 0.0000, 0.0000), Tl at (0.3333, 0.6667, 0.5000), Pb at (0.0416, 0.2612, 0.5000), Pb at (0.1170, 0.6962, 0.0000), Pb at (0.3863, 0.1861, 0.0000), Pb at (0.5520, 0.4429, 0.5000), Au at (0.0745, 0.4404, 0.0000), Au at (0.2687, 0.2421, 0.5000) and Au at (0.6667, 0.3333, 0.0000).

***

13.
## DyLuPa4 (PBE-GGA)

Data for an optimized crystal structure of DyLuPa4.

The calculated total energy is -182.85 eV for the cell shown. Its formation energy is 0.23 eV/atom. As for the volume: 652 Å³/cell.

The space group is F-43m (No. 216) and the conventional cell measures 8.673, 8.673 and 8.673 Å, with angles of 90.00, 90.00 and 90.00 degrees. Symmetry generates all atoms from Dy at (0.000, 0.000, 0.000), Lu at (0.250, 0.250, 0.750) and Pa at (0.125, 0.125, 0.375).

***

14.
## NbTlTcO6 (PBE-GGA)

Data for an optimized crystal structure of NbTlTcO6.

The calculated total energy is -67.53 eV for the cell shown. As for the volume: 151 Å³/cell.

The space group is P1 (No. 1) and the conventional cell measures 5.285, 5.319 and 6.038 Å, with angles of 91.81, 91.21 and 117.28 degrees. Symmetry generates all atoms from Nb at (0.000, 0.000, 0.000), Tl at (0.652, 0.306, 0.550), Tc at (0.325, 0.647, 0.084), O at (0.063, 0.338, 0.232), O at (0.074, 0.711, 0.857), O at (0.237, 0.906, 0.242), O at (0.275, 0.330, 0.863), O at (0.648, 0.938, 0.870) and O at (0.654, 0.718, 0.224).

***

15.
## Pm12Ge7Ir (PBE-GGA)

Data for an optimized crystal structure of Pm12Ge7Ir.

The calculated total energy is -323.92 eV for the cell shown. Its formation energy is -0.49 eV/atom. As for the volume: 1719 Å³/cell.

The space group is R-3 (No. 148, hexagonal axes) and the conventional cell measures 14.7936, 14.7936 and 9.0691 Å, with angles of 90.00, 90.00 and 120.00 degrees. Symmetry generates all atoms from Pm at (0.0320, 0.4433, 0.3085), Pm at (0.0454, 0.1727, 0.2672), Ge at (0.0000, 0.0000, 0.5000), Ge at (0.0500, 0.1902, 0.9241) and Ir at (0.0000, 0.0000, 0.0000).

***

16.
## CaDy3Y2Se6 (PBE-GGA)

Data for an optimized crystal structure of CaDy3Y2Se6.

The calculated total energy is -142.43 eV for the cell shown. As for the volume: 583 Å³/cell.

The space group is C2/m (No. 12) and the conventional cell measures 17.852, 4.084 and 8.225 Å, with angles of 90.00, 103.38 and 90.00 degrees. Symmetry generates all atoms from Ca at (0.000, 0.000, 0.000), Dy at (0.000, 0.000, 0.500), Dy at (0.167, 0.500, 0.828), Y at (0.170, 0.500, 0.341), Se at (0.001, 0.500, 0.252), Se at (0.164, 0.000, 0.583) and Se at (0.167, 0.000, 0.082).

***

17.
## Li3Mg4In4 (PBE-GGA)

Data for an optimized crystal structure of Li3Mg4In4.

The calculated total energy is -47.13 eV for the cell shown. Its formation energy is -0.04 eV/atom. As for the volume: 548 Å³/cell.

The space group is Immm (No. 71) and the conventional cell measures 4.634, 8.762 and 13.498 Å, with angles of 90.00, 90.00 and 90.00 degrees. Symmetry generates all atoms from Li at (0.000, 0.000, 0.000), Li at (0.000, 0.500, 0.108), Mg at (0.000, 0.327, 0.315), In at (0.000, 0.000, 0.260) and In at (0.000, 0.168, 0.500).

***

18.
## GaWSe (PBE-GGA)

Data for an optimized crystal structure of GaWSe.

The calculated total energy is -38.13 eV for the cell shown. As for the volume: 134 Å³/cell.

The space group is P-1 (No. 2) and the conventional cell measures 2.825, 3.672 and 13.086 Å, with angles of 89.24, 89.13 and 81.59 degrees. Symmetry generates all atoms from Ga at (0.236, 0.240, 0.233), W at (0.253, 0.752, 0.944) and Se at (0.227, 0.735, 0.360).

***

19.
## SbMoIr2 (PBE-GGA)

Data for an optimized crystal structure of SbMoIr2.

The calculated total energy is -64.35 eV for the cell shown. As for the volume: 131 Å³/cell.

The space group is C2/m (No. 12) and the conventional cell measures 9.381, 2.938 and 4.794 Å, with angles of 90.00, 97.86 and 90.00 degrees. Symmetry generates all atoms from Sb at (0.000, 0.000, 0.000), Mo at (0.000, 0.500, 0.500) and Ir at (0.243, 0.000, 0.736).

***

20.
## Sm2MgCu3Ge4 (PBE-GGA)

Data for an optimized crystal structure of Sm2MgCu3Ge4.

The calculated total energy is -46.77 eV for the cell shown. Its formation energy is -0.50 eV/atom. As for the volume: 185 Å³/cell.

The space group is P-4m2 (No. 115) and the conventional cell measures 4.142, 4.142 and 10.766 Å, with angles of 90.00, 90.00 and 90.00 degrees. Symmetry generates all atoms from Sm at (0.000, 0.500, 0.241), Mg at (0.000, 0.000, 0.500), Cu at (0.000, 0.500, 0.870), Cu at (0.500, 0.500, 0.500), Ge at (0.000, 0.000, 0.000), Ge at (0.000, 0.500, 0.649) and Ge at (0.500, 0.500, 0.000).